No. 1
## Zn3Pt2 (PBE)

Data for a geometry-optimized Zn3Pt2 structure.

a = 10.828 Å, b = 10.828 Å, c = 10.828 Å
α = 15.14°, β = 15.14°, γ = 15.14°
Fractional coordinates of all 5 atoms:
Zn: 0.000 0.000 0.000
Zn: 0.202 0.202 0.202
Zn: 0.798 0.798 0.798
Pt: 0.400 0.400 0.400
Pt: 0.600 0.600 0.600

For the density, the calculation gives 12.9 g/cm3. Its space-group type is R-3m. Its energy relative to the elements is -151 kJ/mol of formula units.

---

No. 2
## Zn6Pt (PBE)

Data for a geometry-optimized Zn6Pt structure.

a = 5.897 Å, b = 5.897 Å, c = 5.897 Å
α = 109.47°, β = 109.47°, γ = 109.47°
Fractional coordinates of all 7 atoms:
Zn: 0.250 0.500 0.750
Zn: 0.250 0.750 0.500
Zn: 0.500 0.250 0.750
Zn: 0.500 0.750 0.250
Zn: 0.750 0.250 0.500
Zn: 0.750 0.500 0.250
Pt: 0.000 0.000 0.000

For the density, the calculation gives 6.2 g/cm3. Its space-group type is Im-3m. Its energy relative to the elements is 538 kJ/mol of formula units.

---

No. 3
## ZnPt (PBE)

Data for a geometry-optimized ZnPt structure.

a = 2.824 Å, b = 2.824 Å, c = 8.750 Å
α = 90.00°, β = 90.00°, γ = 120.00°
Fractional coordinates of all 4 atoms:
Zn: 0.333 0.667 0.376
Zn: 0.667 0.333 0.624
Pt: 0.333 0.667 0.862
Pt: 0.667 0.333 0.138

For the density, the calculation gives 14.3 g/cm3. Its space-group type is P-3m1. Its energy relative to the elements is -46 kJ/mol of formula units.

---

No. 4
## ZnPt (PBE)

Data for a geometry-optimized ZnPt structure.

a = 5.429 Å, b = 5.429 Å, c = 6.231 Å
α = 104.54°, β = 104.54°, γ = 30.45°
Fractional coordinates of all 6 atoms:
Zn: 0.000 0.000 0.000
Zn: 0.042 0.042 0.578
Zn: 0.719 0.719 0.929
Pt: 0.338 0.338 0.684
Pt: 0.381 0.381 0.254
Pt: 0.660 0.660 0.316

For the density, the calculation gives 14.4 g/cm3. Its space-group type is Cm. Its energy relative to the elements is -76 kJ/mol of formula units.

---

No. 5
## ZnPt (PBE)

Data for a geometry-optimized ZnPt structure.

a = 4.409 Å, b = 4.409 Å, c = 4.409 Å
α = 60.00°, β = 60.00°, γ = 60.00°
Fractional coordinates of all 4 atoms:
Zn: 0.125 0.125 0.125
Zn: 0.875 0.875 0.875
Pt: 0.375 0.375 0.375
Pt: 0.625 0.625 0.625

For the density, the calculation gives 14.3 g/cm3. Its space-group type is Fd-3m. Its energy relative to the elements is -60 kJ/mol of formula units.

---

No. 6
## ZnPt (PBE)

Data for a geometry-optimized ZnPt structure.

a = 2.863 Å, b = 2.863 Å, c = 3.568 Å
α = 90.00°, β = 90.00°, γ = 90.00°
Fractional coordinates of all 2 atoms:
Zn: 0.000 0.000 0.000
Pt: 0.500 0.500 0.500

For the density, the calculation gives 14.8 g/cm3. Its space-group type is P4/mmm. Its energy relative to the elements is -110 kJ/mol of formula units.

---

No. 7
## ZnPt (PBE)

Data for a geometry-optimized ZnPt structure.

a = 5.054 Å, b = 5.054 Å, c = 5.133 Å
α = 90.00°, β = 90.00°, γ = 90.00°
Fractional coordinates of all 8 atoms:
Zn: 0.196 0.196 0.000
Zn: 0.304 0.696 0.500
Zn: 0.696 0.304 0.500
Zn: 0.804 0.804 0.000
Pt: 0.195 0.195 0.500
Pt: 0.305 0.695 0.000
Pt: 0.695 0.305 0.000
Pt: 0.805 0.805 0.500

For the density, the calculation gives 13.2 g/cm3. Its space-group type is P4_2/mnm. Its energy relative to the elements is -35 kJ/mol of formula units.

---

No. 8
## Zn3Pt2 (PBE)

Data for a geometry-optimized Zn3Pt2 structure.

a = 7.007 Å, b = 5.096 Å, c = 7.854 Å
α = 61.20°, β = 39.59°, γ = 79.20°
Fractional coordinates of all 10 atoms:
Zn: 0.000 0.000 0.000
Zn: 0.250 0.250 0.250
Zn: 0.367 0.661 0.428
Zn: 0.661 0.367 0.543
Zn: 0.707 0.822 0.589
Zn: 0.822 0.707 0.883
Pt: 0.140 0.489 0.962
Pt: 0.288 0.841 0.110
Pt: 0.489 0.140 0.409
Pt: 0.841 0.288 0.761

For the density, the calculation gives 13.2 g/cm3. Its space-group type is Fdd2. Its energy relative to the elements is -217 kJ/mol of formula units.

---

No. 9
## Zn2Pt (PBE)

Data for a geometry-optimized Zn2Pt structure.

a = 4.955 Å, b = 4.955 Å, c = 4.955 Å
α = 60.00°, β = 60.00°, γ = 60.00°
Fractional coordinates of all 6 atoms:
Zn: 0.000 0.000 0.000
Zn: 0.000 0.000 0.500
Zn: 0.000 0.500 0.000
Zn: 0.500 0.000 0.000
Pt: 0.375 0.375 0.375
Pt: 0.625 0.625 0.625

For the density, the calculation gives 12.6 g/cm3. Its space-group type is Fd-3m. Its energy relative to the elements is -65 kJ/mol of formula units.

---

No. 10
## Zn3Pt2 (PBE)

Data for a geometry-optimized Zn3Pt2 structure.

a = 7.474 Å, b = 7.474 Å, c = 7.474 Å
α = 40.30°, β = 40.30°, γ = 40.30°
Fractional coordinates of all 10 atoms:
Zn: 0.225 0.750 0.275
Zn: 0.250 0.725 0.775
Zn: 0.275 0.225 0.750
Zn: 0.725 0.775 0.250
Zn: 0.750 0.275 0.225
Zn: 0.775 0.250 0.725
Pt: 0.185 0.185 0.185
Pt: 0.315 0.315 0.315
Pt: 0.685 0.685 0.685
Pt: 0.815 0.815 0.815

For the density, the calculation gives 12.4 g/cm3. Its space-group type is R-3c. Its energy relative to the elements is -157 kJ/mol of formula units.

---

No. 11
## Zn2Pt (PBE)

Data for a geometry-optimized Zn2Pt structure.

a = 5.131 Å, b = 5.131 Å, c = 6.652 Å
α = 107.12°, β = 107.12°, γ = 32.18°
Fractional coordinates of all 6 atoms:
Zn: 0.039 0.039 0.316
Zn: 0.361 0.361 0.969
Zn: 0.639 0.639 0.031
Zn: 0.961 0.961 0.684
Pt: 0.314 0.314 0.342
Pt: 0.686 0.686 0.658

For the density, the calculation gives 12.2 g/cm3. Its space-group type is C2/m. Its energy relative to the elements is -108 kJ/mol of formula units.

---

No. 12
## ZnPt (PBE)

Data for a geometry-optimized ZnPt structure.

a = 3.793 Å, b = 3.793 Å, c = 5.547 Å
α = 90.00°, β = 90.00°, γ = 120.00°
Fractional coordinates of all 4 atoms:
Zn: 0.333 0.667 0.250
Zn: 0.667 0.333 0.750
Pt: 0.000 0.000 0.000
Pt: 0.000 0.000 0.500

For the density, the calculation gives 12.5 g/cm3. Its space-group type is P6_3/mmc. Its energy relative to the elements is -57 kJ/mol of formula units.